First-principles (GGA-PBE) data for La2HoTlN after structural relaxation, as listed in the Alexandria database.

Computed properties:
Theoretical density   8.59 g/cm³
Raw formation energy   -0.85 eV per atom
Space group   P4/mmm

The structure in extended XYZ format:
```
5
Lattice="5.140 0.000 0.000 0.000 5.140 0.000 0.000 0.000 4.840" Properties=species:S:1:pos:R:3 pbc="T T T"
La 0.000 2.570 0.000
La 2.570 0.000 0.000
Ho 0.000 0.000 2.420
Tl 2.570 2.570 2.420
N 0.000 0.000 0.000
```